1.
This record from Alexandria describes a relaxed structure of Sm2Er5Th. The functional is PBE.

Structure (POSCAR):
```
Sm2Er5Th
1.0
-1.1150 5.5644 -4.4190
-0.6817 -6.7303 -2.4462
-4.6183 0.6196 4.8695
Sm Er Th
2 5 1
direct
0.7359 0.3218 0.5021 Sm
0.2338 0.8196 0.4979 Sm
0.3196 0.7350 0.0000 Er
0.3188 0.2373 0.9999 Er
0.7374 0.8183 0.5002 Er
0.8209 0.2363 0.0000 Er
0.2374 0.3182 0.4998 Er
0.8192 0.7364 0.0001 Th
```

Values from the calculation:
For the energy above the most stable polymorph in this dataset, the calculation gives 0.000 eV/atom. The total energy is -4.94 eV per atom.

=====

2.
This record from Alexandria describes a relaxed structure of CsCa3La. The functional is PBE.

Structure (POSCAR):
```
CsCa3La
1.0
-4.7832 1.6428 -3.4604
2.8147 -2.2475 -4.9577
-2.5982 -5.4592 0.9998
Ca Cs La
3 1 1
direct
0.0000 0.0000 0.5000 Ca
0.0000 0.5000 0.0000 Ca
0.5000 0.0000 0.0000 Ca
0.0000 0.0000 0.0000 Cs
0.5000 0.5000 0.5000 La
```

Values from the calculation:
For the energy above the most stable polymorph in this dataset, the calculation gives 0.283 eV/atom. The total energy is -1.45 eV per atom.

=====

3.
This record from Alexandria describes a relaxed structure of Ac6TlPt3. The functional is PBE.

Structure (POSCAR):
```
Ac6TlPt3
1.0
4.4334 0.0000 0.0000
0.0000 12.4587 -4.2550
0.0000 0.2083 12.9327
Ac Tl Pt
12 2 6
direct
0.2500 0.9481 0.6133 Ac
0.7500 0.0850 0.9194 Ac
0.7500 0.2587 0.7091 Ac
0.2500 0.5291 0.8560 Ac
0.2500 0.7413 0.2909 Ac
0.2500 0.2444 0.2005 Ac
0.7500 0.0519 0.3867 Ac
0.2500 0.3843 0.5198 Ac
0.7500 0.4709 0.1440 Ac
0.7500 0.6157 0.4802 Ac
0.2500 0.9150 0.0806 Ac
0.7500 0.7556 0.7995 Ac
0.2500 0.3054 0.9454 Tl
0.7500 0.6946 0.0546 Tl
0.2500 0.9170 0.8453 Pt
0.2500 0.5087 0.3249 Pt
0.7500 0.0830 0.1547 Pt
0.7500 0.4913 0.6751 Pt
0.2500 0.1594 0.5459 Pt
0.7500 0.8406 0.4541 Pt
```

Values from the calculation:
The total energy is -5.30 eV per atom.

=====

4.
This record from Alexandria describes a relaxed structure of SbOs3Pd. The functional is PBE.

Structure (POSCAR):
```
SbOs3Pd
1.0
-4.2857 0.1541 -2.0145
1.9842 -0.5698 -4.2647
-0.3809 -4.7011 0.4509
Os Pd Sb
3 1 1
direct
0.5000 0.0000 0.0000 Os
0.0000 0.0000 0.5000 Os
0.0000 0.5000 0.0000 Os
0.0000 0.0000 0.0000 Pd
0.5000 0.5000 0.5000 Sb
```

Values from the calculation:
For the energy above the most stable polymorph in this dataset, the calculation gives 0.000 eV/atom. The total energy is -6.12 eV per atom.